Density functional theory data (PBE-GGA) for a geometry-optimized CaY2Rh2 structure.

**Mass density**: 6197 kg/m³
**Final energy**: -64.26 eV per cell
**DOS(E_F)**: 5.299 states/eV/cell
**Energy of formation**: -0.499 eV per atom
**Energy above the most stable polymorph in this dataset**: 0.132 eV/atom

Lattice parameters (Å, degrees): 8.2981 8.2981 3.2978 90.00 90.00 90.00
Space group P4/mbm (No. 127)
Asymmetric unit:
Ca 0.0000 0.0000 0.0000
Y 0.1389 0.3611 0.0000
Rh 0.1565 0.6565 0.5000


Density functional theory data (PBE-GGA) for a geometry-optimized LaErCu2Se4 structure.

**Mass density**: 6416 kg/m³
**Final energy**: -81.15 eV per cell
**DOS(E_F)**: 0.998 states/eV/cell

Lattice parameters (Å, degrees): 6.7908 7.1237 8.0155 90.00 90.00 90.00
Space group I222 (No. 23)
Asymmetric unit:
La 0.0000 0.0000 0.0000
Er 0.0000 0.0000 0.5000
Cu 0.0000 0.5000 0.1570
Se 0.2417 0.2155 0.3030


Density functional theory data (PBE-GGA) for a geometry-optimized HfBi2 structure.

**Mass density**: 11241 kg/m³
**Final energy**: -71.21 eV per cell
**DOS(E_F)**: 6.907 states/eV/cell
**Energy of formation**: -0.029 eV per atom

Lattice parameters (Å, degrees): 12.4805 3.3096 8.5320 90.00 90.00 90.00
Space group Pnma (No. 62)
Asymmetric unit:
Hf 0.1036 0.2500 0.0092
Bi 0.0539 0.7500 0.6966
Bi 0.2075 0.7500 0.2774


Density functional theory data (PBE-GGA) for a geometry-optimized USeS structure.

**Mass density**: 9633 kg/m³
**Final energy**: -44.63 eV per cell
**DOS(E_F)**: 8.764 states/eV/cell
**Energy above the most stable polymorph in this dataset**: 0.159 eV/atom

Lattice parameters (Å, degrees): 3.6246 3.6246 9.1601 90.00 90.00 90.00
Space group I4mm (No. 107)
Asymmetric unit:
U 0.0000 0.0000 0.0000
Se 0.0000 0.0000 0.3358
S 0.0000 0.0000 0.6440